No. 1
DFT (PBE) results for ScTlZnTe3 after structural relaxation. Values from VASP.

For the energy relative to the lowest polymorph listed for this composition, the calculation gives 0.000 eV per atom. Its space group is Cmcm, No. 63.

Geometry as Quantum ESPRESSO input:
```
&SYSTEM
  ibrav = 0, nat = 12, ntyp = 4
/
ATOMIC_SPECIES
Sc 44.96 Sc.upf
Tl 204.38 Tl.upf
Zn 65.41 Zn.upf
Te 127.60 Te.upf
CELL_PARAMETERS angstrom
2.114 -7.763 0.000
2.114 7.763 0.000
0.000 0.000 11.169
ATOMIC_POSITIONS angstrom
Sc 0.000 0.000 0.000
Sc 0.000 0.000 5.584
Tl 2.114 4.003 8.376
Tl 2.114 -4.003 2.792
Zn 2.114 0.566 2.792
Zn 2.114 -0.566 8.376
Te 2.114 6.652 2.792
Te 2.114 2.005 0.570
Te 2.114 2.005 5.014
Te 2.114 -2.005 6.154
Te 2.114 -2.005 10.599
Te 2.114 -6.652 8.376
```

---

No. 2
DFT (PBE) results for ScTlZnTe3 after structural relaxation. Values from VASP.

For the energy relative to the lowest polymorph listed for this composition, the calculation gives 0.118 eV per atom. Its space group is C2/m, No. 12.

Geometry as Quantum ESPRESSO input:
```
&SYSTEM
  ibrav = 0, nat = 12, ntyp = 4
/
ATOMIC_SPECIES
Sc 44.96 Sc.upf
Tl 204.38 Tl.upf
Zn 65.41 Zn.upf
Te 127.60 Te.upf
CELL_PARAMETERS angstrom
9.626 -2.131 0.000
9.626 2.131 0.000
-1.801 0.000 9.029
ATOMIC_POSITIONS angstrom
Sc 3.233 0.000 0.660
Sc 14.217 0.000 8.368
Tl 1.627 0.000 5.098
Tl 15.823 0.000 3.930
Zn 7.610 0.000 7.059
Zn 9.840 0.000 1.969
Te 0.000 0.000 0.000
Te 6.052 0.000 1.284
Te 5.038 0.000 6.409
Te 8.725 0.000 4.514
Te 12.413 0.000 2.620
Te 11.399 0.000 7.745
```

---

No. 3
DFT (PBE) results for ScTlZnTe3 after structural relaxation. Values from VASP.

For the energy relative to the lowest polymorph listed for this composition, the calculation gives 0.010 eV per atom. Its space group is Pnma, No. 62.

Geometry as Quantum ESPRESSO input:
```
&SYSTEM
  ibrav = 0, nat = 24, ntyp = 4
/
ATOMIC_SPECIES
Sc 44.96 Sc.upf
Tl 204.38 Tl.upf
Zn 65.41 Zn.upf
Te 127.60 Te.upf
CELL_PARAMETERS angstrom
15.586 0.000 0.000
0.000 4.249 0.000
0.000 0.000 11.366
ATOMIC_POSITIONS angstrom
Sc 0.351 1.062 1.760
Sc 7.442 3.187 7.444
Sc 8.144 1.062 3.923
Sc 15.235 3.187 9.606
Tl 3.707 1.062 5.168
Tl 4.086 3.187 10.851
Tl 11.501 1.062 0.515
Tl 11.879 3.187 6.198
Zn 0.258 3.187 4.559
Zn 7.535 1.062 10.242
Zn 8.051 3.187 1.124
Zn 15.328 1.062 6.807
Te 1.402 3.187 7.069
Te 1.495 1.062 10.483
Te 2.185 3.187 2.737
Te 5.608 1.062 8.421
Te 6.298 3.187 4.800
Te 6.392 1.062 1.386
Te 9.195 3.187 9.981
Te 9.288 1.062 6.567
Te 9.978 3.187 2.946
Te 13.401 1.062 8.629
Te 14.091 3.187 0.884
Te 14.185 1.062 4.298
```